# 1
DFT (GGA-PBE) results for a relaxed structure of Tm3Co2Ge4.

Cell: 10.489 4.138 7.927 Å, 90.00 107.49 90.00°
Space group C2/m (No. 12)
Asymmetric unit:
1 Tm 0.000 0.000 0.000 [2 per cell]
2 Tm 0.124 0.500 0.693 [4 per cell]
3 Co 0.191 0.500 0.374 [4 per cell]
4 Ge 0.094 0.000 0.399 [4 per cell]
5 Ge 0.208 0.500 0.080 [4 per cell]

Properties
The crystal system is monoclinic.


# 2
DFT (GGA-PBE) results for a relaxed structure of LaNi3H.

Cell: 4.006 4.006 4.006 Å, 90.00 90.00 90.00°
Space group Pm-3m (No. 221)
Asymmetric unit:
1 La 0.000 0.000 0.000 [1 per cell]
2 Ni 0.000 0.500 0.500 [3 per cell]
3 H 0.500 0.500 0.500 [1 per cell]

Properties
The crystal system is cubic.


# 3
DFT (GGA-PBE) results for a relaxed structure of MgInRuSe2.

Cell: 4.899 4.899 4.867 Å, 90.00 90.00 90.00°
Space group P4/mmm (No. 123)
Asymmetric unit:
1 Mg 0.000 0.000 0.000 [1 per cell]
2 In 0.500 0.500 0.500 [1 per cell]
3 Ru 0.000 0.000 0.500 [1 per cell]
4 Se 0.000 0.500 0.000 [2 per cell]

Properties
The crystal system is tetragonal. The value obtained for the energy relative to the elements, uncorrected is 0.65 eV per atom.


# 4
DFT (GGA-PBE) results for a relaxed structure of Mg2TlPb2.

Cell: 9.041 9.041 3.403 Å, 90.00 90.00 90.00°
Space group P4/mbm (No. 127)
Asymmetric unit:
1 Mg 0.130 0.370 0.000 [4 per cell]
2 Tl 0.000 0.000 0.000 [2 per cell]
3 Pb 0.166 0.666 0.500 [4 per cell]

Properties
The crystal system is tetragonal.


# 5
DFT (GGA-PBE) results for a relaxed structure of Er4InRuRh2.

Cell: 4.8925 4.8925 24.3638 Å, 90.00 90.00 120.00°
Space group R-3m (No. 166, hexagonal axes)
Asymmetric unit:
1 Er 0.0000 0.0000 0.1163 [6 per cell]
2 Er 0.0000 0.0000 0.3695 [6 per cell]
3 In 0.0000 0.0000 0.5000 [3 per cell]
4 Ru 0.0000 0.0000 0.0000 [3 per cell]
5 Rh 0.0000 0.0000 0.2504 [6 per cell]

Properties
The crystal system is trigonal.


# 6
DFT (GGA-PBE) results for a relaxed structure of LaMg3Os.

Cell: 5.507 5.507 5.507 Å, 90.00 90.00 90.00°
Space group Pm-3m (No. 221)
Asymmetric unit:
1 La 0.000 0.000 0.000 [1 per cell]
2 Mg 0.000 0.000 0.500 [3 per cell]
3 Os 0.500 0.500 0.500 [1 per cell]

Properties
The crystal system is cubic.


# 7
DFT (GGA-PBE) results for a relaxed structure of MnTl2SnC.

Cell: 5.211 5.211 5.000 Å, 90.00 90.00 90.00°
Space group P4/mmm (No. 123)
Asymmetric unit:
1 Mn 0.000 0.000 0.000 [1 per cell]
2 Tl 0.000 0.500 0.000 [2 per cell]
3 Sn 0.000 0.000 0.500 [1 per cell]
4 C 0.500 0.500 0.500 [1 per cell]

Properties
The crystal system is tetragonal.


# 8
DFT (GGA-PBE) results for a relaxed structure of CrHg2Cl.

Cell: 9.992 9.992 4.794 Å, 90.00 90.00 90.00°
Space group I-42d (No. 122)
Asymmetric unit:
1 Cr 0.000 0.000 0.000 [4 per cell]
2 Hg 0.147 0.250 0.125 [8 per cell]
3 Cl 0.000 0.000 0.500 [4 per cell]

Properties
The crystal system is tetragonal. The value obtained for the energy relative to the elements, uncorrected is -0.03 eV per atom.


# 9
DFT (GGA-PBE) results for a relaxed structure of Pr12H5Os3.

Cell: 15.752 15.752 15.752 Å, 90.00 90.00 90.00°
Space group Ia-3d (No. 230)
Asymmetric unit:
1 Pr 0.032 0.064 0.655 [96 per cell]
2 H 0.000 0.000 0.000 [16 per cell]
3 H 0.000 0.250 0.375 [24 per cell]
4 Os 0.000 0.250 0.125 [24 per cell]

Properties
The crystal system is cubic.


# 10
DFT (GGA-PBE) results for a relaxed structure of CdCoCu2.

Cell: 2.7385 2.7385 25.9496 Å, 90.00 90.00 120.00°
Space group R3m (No. 160, hexagonal axes)
Asymmetric unit:
1 Cd 0.0000 0.0000 0.0000 [3 per cell]
2 Co 0.0000 0.0000 0.2432 [3 per cell]
3 Cu 0.0000 0.0000 0.5012 [3 per cell]
4 Cu 0.0000 0.0000 0.7580 [3 per cell]

Properties
The crystal system is trigonal.


# 11
DFT (GGA-PBE) results for a relaxed structure of FeGeSN2.

Cell: 3.645 3.645 5.414 Å, 90.00 90.00 90.00°
Space group P4/mmm (No. 123)
Asymmetric unit:
1 Fe 0.000 0.000 0.000 [1 per cell]
2 Ge 0.500 0.500 0.500 [1 per cell]
3 S 0.500 0.500 0.000 [1 per cell]
4 N 0.000 0.500 0.500 [2 per cell]

Properties
The crystal system is tetragonal. The value obtained for the energy relative to the elements, uncorrected is 1.19 eV per atom.


# 12
DFT (GGA-PBE) results for a relaxed structure of Pr8Ho2Er.

Cell: 16.959 6.872 6.752 Å, 90.00 100.45 90.00°
Space group C2/m (No. 12)
Asymmetric unit:
1 Pr 0.086 0.239 0.404 [8 per cell]
2 Pr 0.096 0.000 0.918 [4 per cell]
3 Pr 0.245 0.500 0.323 [4 per cell]
4 Ho 0.194 0.500 0.809 [4 per cell]
5 Er 0.000 0.500 0.000 [2 per cell]

Properties
The crystal system is monoclinic.


Number 1: calculated total energy -0.4288 Ry/atom, density 9.3 g/cm³, density of states at the Fermi level 5.61 states/eV/f.u.. Number 2: calculated total energy -0.3811 Ry/atom, density 8.2 g/cm³, density of states at the Fermi level 9.95 states/eV/f.u.. Number 3: calculated total energy -0.2544 Ry/atom, density 5.7 g/cm³, density of states at the Fermi level 5.42 states/eV/f.u.. Number 4: calculated total energy -0.1918 Ry/atom, density 8.0 g/cm³, density of states at the Fermi level 2.62 states/eV/f.u.. Number 5: calculated total energy -0.4608 Ry/atom, density 10.8 g/cm³, density of states at the Fermi level 4.02 states/eV/f.u.. Number 6: calculated total energy -0.1250 Ry/atom, density 4.0 g/cm³, density of states at the Fermi level 9.79 states/eV/f.u.. Number 7: calculated total energy -0.2898 Ry/atom, density 7.3 g/cm³, density of states at the Fermi level 3.73 states/eV/f.u.. Number 8: calculated total energy -0.2238 Ry/atom, density 6.8 g/cm³, density of states at the Fermi level 0.73 states/eV/f.u.. Number 9: calculated total energy -0.4086 Ry/atom, density 7.7 g/cm³, density of states at the Fermi level 14.72 states/eV/f.u.. Number 10: calculated total energy -0.2785 Ry/atom, density 8.8 g/cm³, density of states at the Fermi level 3.22 states/eV/f.u.. Number 11: calculated total energy -0.4104 Ry/atom, density 4.4 g/cm³, density of states at the Fermi level 4.29 states/eV/f.u.. Number 12: calculated total energy -0.3349 Ry/atom, density 7.0 g/cm³, density of states at the Fermi level 17.84 states/eV/f.u..